Density functional theory data (PBE) for a geometry-optimized NdPaPdN3 structure.

Values from the calculation:
Energy in eV/atom: -8.437
Energy relative to the elements, uncorrected in eV/atom: -1.0312

Structure (POSCAR):
```
NdPaPdN3
1.0
6.453 0.000 0.000
0.000 3.692 0.000
-2.385 0.000 8.703
Nd Pa Pd N
2 2 2 6
Direct
0.020 0.250 0.306
0.980 0.750 0.694
0.475 0.250 0.667
0.525 0.750 0.333
0.316 0.250 0.998
0.684 0.750 0.002
0.205 0.250 0.765
0.295 0.750 0.499
0.345 0.250 0.226
0.655 0.750 0.774
0.705 0.250 0.501
0.795 0.750 0.235
```

=====

Density functional theory data (PBE) for a geometry-optimized Sr3CePr2Te6 structure.

Values from the calculation:
Energy in eV/atom: -4.826
Energy relative to the elements, uncorrected in eV/atom: -1.5433

Structure (POSCAR):
```
Sr3CePr2Te6
1.0
3.970 -6.869 0.000
3.970 6.869 0.000
-2.645 0.000 7.693
Sr Ce Pr Te
3 1 2 6
Direct
0.000 0.000 0.000
0.332 0.668 0.000
0.668 0.332 0.000
0.500 0.500 0.500
0.166 0.834 0.500
0.834 0.166 0.500
0.087 0.419 0.258
0.249 0.249 0.743
0.419 0.087 0.258
0.581 0.913 0.742
0.751 0.751 0.257
0.913 0.581 0.742
```

=====

Density functional theory data (PBE) for a geometry-optimized Ac2GeSb4 structure.

Values from the calculation:
Energy in eV/atom: -4.811
Energy relative to the elements, uncorrected in eV/atom: -0.6219

Structure (POSCAR):
```
Ac2GeSb4
1.0
4.498 0.000 0.000
0.000 4.498 0.000
0.000 0.000 11.479
Ac Ge Sb
2 1 4
Direct
0.000 0.500 0.231
0.500 0.000 0.769
0.000 0.000 0.500
0.000 0.000 0.000
0.000 0.500 0.661
0.500 0.000 0.339
0.500 0.500 0.000
```

=====

Density functional theory data (PBE) for a geometry-optimized Ba2SnBi3Pd4 structure.

Values from the calculation:
Energy in eV/atom: -4.673
Energy of formation in kJ/mol of atoms: -62.4

Structure (POSCAR):
```
Ba2SnBi3Pd4
1.0
4.900 0.000 0.000
0.000 4.900 0.000
0.000 0.000 11.092
Ba Sn Bi Pd
2 1 3 4
Direct
0.000 0.500 0.242
0.500 0.000 0.758
0.000 0.000 0.500
0.000 0.500 0.876
0.500 0.000 0.124
0.500 0.500 0.500
0.000 0.000 0.000
0.000 0.500 0.623
0.500 0.000 0.377
0.500 0.500 0.000
```

=====

Density functional theory data (PBE) for a geometry-optimized GdZrAg structure.

Values from the calculation:
Energy in eV/atom: -8.345
Energy of formation in kJ/mol of atoms: 14.3
Energy above the lowest structure with this stoichiometry in meV per atom: 210.8

Structure (POSCAR):
```
GdZrAg
1.0
4.982 0.000 0.000
-2.491 4.314 0.000
0.000 0.000 3.407
Gd Zr Ag
1 1 1
Direct
0.000 0.000 0.000
0.667 0.333 0.538
0.333 0.667 0.417
```

=====

Density functional theory data (PBE) for a geometry-optimized Nd4GaSBr2 structure.

Values from the calculation:
Energy in eV/atom: -4.975
Energy relative to the elements, uncorrected in eV/atom: -1.2785

Structure (POSCAR):
```
Nd4GaSBr2
1.0
7.170 0.000 0.000
0.000 4.231 0.000
-2.518 0.000 7.376
Nd Ga S Br
4 1 1 2
Direct
0.229 0.000 0.205
0.254 0.500 0.787
0.746 0.500 0.213
0.771 0.000 0.795
0.500 0.000 0.000
0.000 0.500 0.000
0.000 0.000 0.500
0.500 0.500 0.500
```

=====

Density functional theory data (PBE) for a geometry-optimized Zn4FeCu3 structure.

Values from the calculation:
Energy in eV/atom: -3.289
Energy of formation in kJ/mol of atoms: -5.6

Structure (POSCAR):
```
Zn4FeCu3
1.0
2.653 0.000 0.000
0.000 2.653 0.000
0.000 0.000 14.711
Zn Fe Cu
4 1 3
Direct
0.000 0.000 0.125
0.000 0.000 0.375
0.000 0.000 0.625
0.000 0.000 0.875
0.500 0.500 0.000
0.500 0.500 0.250
0.500 0.500 0.500
0.500 0.500 0.750
```

=====

Density functional theory data (PBE) for a geometry-optimized Pr7GeSe5 structure.

Values from the calculation:
Energy in eV/atom: -5.824
Energy relative to the elements, uncorrected in eV/atom: -1.5546

Structure (POSCAR):
```
Pr7GeSe5
1.0
6.962 -2.119 0.000
6.962 2.119 0.000
-0.012 0.000 25.142
Pr Ge Se
14 2 10
Direct
0.000 0.000 0.000
0.000 0.000 0.138
0.102 0.102 0.703
0.103 0.103 0.434
0.285 0.285 0.204
0.286 0.286 0.934
0.388 0.388 0.638
0.389 0.389 0.500
0.556 0.556 0.281
0.556 0.556 0.856
0.659 0.659 0.569
0.729 0.729 0.069
0.832 0.832 0.781
0.833 0.833 0.356
0.005 0.005 0.569
0.384 0.384 0.069
0.194 0.194 0.319
0.194 0.194 0.819
0.470 0.470 0.391
0.470 0.470 0.747
0.641 0.641 0.175
0.642 0.642 0.963
0.746 0.746 0.675
0.747 0.747 0.463
0.918 0.918 0.247
0.918 0.918 0.891
```

=====

Density functional theory data (PBE) for a geometry-optimized CrHOs structure.

Values from the calculation:
Energy in eV/atom: -8.053
Energy above the lowest structure with this stoichiometry in meV per atom: 0.0

Structure (POSCAR):
```
CrHOs
1.0
2.747 0.000 0.000
-1.373 2.379 0.000
0.000 0.000 4.293
Cr H Os
1 1 1
Direct
0.000 0.000 0.000
0.333 0.667 0.804
0.667 0.333 0.467
```

=====

Density functional theory data (PBE) for a geometry-optimized PrTm5Sb4 structure.

Values from the calculation:
Energy in eV/atom: -5.020
Energy relative to the elements, uncorrected in eV/atom: -0.6577

Structure (POSCAR):
```
PrTm5Sb4
1.0
9.333 -2.161 0.000
9.333 2.161 0.000
-2.492 0.000 8.042
Pr Tm Sb
1 5 4
Direct
0.000 0.000 0.000
0.000 0.000 0.500
0.318 0.318 0.652
0.341 0.341 0.180
0.659 0.659 0.820
0.682 0.682 0.348
0.175 0.175 0.088
0.487 0.487 0.728
0.513 0.513 0.272
0.825 0.825 0.912
```

=====

Density functional theory data (PBE) for a geometry-optimized Np2NiS4 structure.

Values from the calculation:
Energy in eV/atom: -8.014
Energy relative to the elements, uncorrected in eV/atom: -1.1323

Structure (POSCAR):
```
Np2NiS4
1.0
6.301 0.000 0.000
0.000 5.847 0.000
-2.243 0.000 7.193
Np Ni S
4 2 8
Direct
0.238 0.250 0.058
0.252 0.250 0.564
0.748 0.750 0.436
0.762 0.750 0.942
0.237 0.750 0.809
0.763 0.250 0.191
0.019 0.512 0.258
0.019 0.988 0.258
0.431 0.750 0.105
0.436 0.750 0.613
0.564 0.250 0.387
0.569 0.250 0.895
0.981 0.012 0.742
0.981 0.488 0.742
```

=====

Density functional theory data (PBE) for a geometry-optimized GeSbMoW structure.

Values from the calculation:
Energy in eV/atom: -7.769
Energy relative to the elements, uncorrected in eV/atom: 0.3616
Energy above the lowest structure with this stoichiometry in meV per atom: 215.1

Structure (POSCAR):
```
GeSbMoW
1.0
2.659 -1.610 0.000
2.659 1.610 0.000
-0.725 0.000 8.877
Ge Sb Mo W
1 1 1 1
Direct
0.000 0.000 0.000
0.568 0.568 0.305
0.313 0.313 0.774
0.932 0.932 0.558
```

=====

Density functional theory data (PBE) for a geometry-optimized Pa2Ga8Ru structure.

Values from the calculation:
Energy in eV/atom: -5.190
Energy of formation in kJ/mol of atoms: -40.4

Structure (POSCAR):
```
Pa2Ga8Ru
1.0
4.337 0.000 0.000
0.000 4.337 0.000
0.000 0.000 11.157
Pa Ga Ru
2 8 1
Direct
0.000 0.000 0.194
0.000 0.000 0.806
0.000 0.500 0.000
0.000 0.500 0.380
0.000 0.500 0.620
0.500 0.000 0.000
0.500 0.000 0.380
0.500 0.000 0.620
0.500 0.500 0.193
0.500 0.500 0.807
0.000 0.000 0.500
```

=====

Density functional theory data (PBE) for a geometry-optimized IrPtSe2 structure.

Values from the calculation:
Energy in eV/atom: -5.114
Energy relative to the elements, uncorrected in eV/atom: 0.3541

Structure (POSCAR):
```
IrPtSe2
1.0
-1.474 2.355 4.939
1.474 -2.355 4.939
1.474 2.355 -4.939
Ir Pt Se
1 1 2
Direct
0.000 0.000 0.000
0.244 0.744 0.500
0.492 0.492 0.000
0.788 0.288 0.500
```

=====

Density functional theory data (PBE) for a geometry-optimized TlSbCl structure.

Values from the calculation:
Energy in eV/atom: -2.931
Energy relative to the elements, uncorrected in eV/atom: -0.1530
Energy above the lowest structure with this stoichiometry in meV per atom: 371.5

Structure (POSCAR):
```
TlSbCl
1.0
5.250 0.000 0.000
-2.625 4.547 0.000
0.000 0.000 3.437
Tl Sb Cl
1 1 1
Direct
0.000 0.000 0.000
0.667 0.333 0.500
0.333 0.667 0.500
```

=====

Density functional theory data (PBE) for a geometry-optimized Ga2H2S structure.

Values from the calculation:
Energy in eV/atom: -3.285

Structure (POSCAR):
```
Ga2H2S
1.0
-2.879 2.879 6.951
2.879 -2.879 6.951
2.879 2.879 -6.951
Ga H S
4 4 2
Direct
0.214 0.000 0.214
0.750 0.036 0.286
0.750 0.464 0.714
0.786 0.000 0.786
0.408 0.110 0.298
0.812 0.110 0.702
0.860 0.062 0.202
0.860 0.658 0.798
0.391 0.891 0.500
0.641 0.641 0.000
```

=====

Density functional theory data (PBE) for a geometry-optimized Na4B7C structure.

Values from the calculation:
Energy in eV/atom: -4.861
Energy of formation in kJ/mol of atoms: 23.4
Energy above the lowest structure with this stoichiometry in meV per atom: 20.6

Structure (POSCAR):
```
Na4B7C
1.0
5.975 0.000 0.000
0.000 5.117 0.000
-2.965 0.000 8.675
Na B C
8 14 2
Direct
0.124 0.249 0.499
0.124 0.751 0.999
0.375 0.251 0.001
0.375 0.749 0.501
0.625 0.251 0.499
0.625 0.749 0.999
0.876 0.249 0.001
0.876 0.751 0.501
0.000 0.078 0.750
0.000 0.431 0.750
0.000 0.569 0.250
0.000 0.922 0.250
0.252 0.082 0.251
0.252 0.918 0.751
0.263 0.434 0.250
0.263 0.566 0.750
0.500 0.102 0.750
0.500 0.898 0.250
0.737 0.434 0.250
0.737 0.566 0.750
0.748 0.082 0.249
0.748 0.918 0.749
0.500 0.420 0.750
0.500 0.580 0.250
```

=====

Density functional theory data (PBE) for a geometry-optimized Ac3Dy structure.

Values from the calculation:
Energy in eV/atom: -4.197
Energy of formation in kJ/mol of atoms: 3.4

Structure (POSCAR):
```
Ac3Dy
1.0
5.482 0.000 0.000
0.000 5.482 0.000
0.000 0.000 5.482
Ac Dy
3 1
Direct
0.000 0.000 0.500
0.000 0.500 0.000
0.500 0.000 0.000
0.500 0.500 0.500
```

=====

Density functional theory data (PBE) for a geometry-optimized ScAuBr2N structure.

Values from the calculation:
Energy in eV/atom: -3.099
Energy relative to the elements, uncorrected in eV/atom: 1.1565

Structure (POSCAR):
```
ScAuBr2N
1.0
5.066 0.000 0.000
0.000 5.066 0.000
0.000 0.000 5.580
Sc Au Br N
1 1 2 1
Direct
0.000 0.000 0.000
0.000 0.000 0.500
0.000 0.500 0.500
0.500 0.000 0.500
0.500 0.500 0.000
```

=====

Density functional theory data (PBE) for a geometry-optimized PmMg5Tl6 structure.

Values from the calculation:
Energy in eV/atom: -2.366
Energy of formation in kJ/mol of atoms: -11.8

Structure (POSCAR):
```
PmMg5Tl6
1.0
-2.575 3.697 8.027
2.575 -3.697 8.027
2.575 3.697 -8.027
Pm Mg Tl
1 5 6
Direct
0.000 0.000 0.000
0.166 0.666 0.500
0.328 0.328 0.000
0.500 0.000 0.500
0.672 0.672 0.000
0.834 0.334 0.500
0.087 0.830 0.257
0.271 0.500 0.771
0.427 0.170 0.257
0.573 0.830 0.743
0.729 0.500 0.229
0.913 0.170 0.743
```